Below is a relaxed Rb2MnO4 crystal, with properties calculated at the PBE+U level.

Lattice parameters (Å, degrees): 8.1309 6.1691 10.9244 90.00 90.00 90.00
Fractional coordinates of all 28 atoms:
Rb1 0.0109 0.2500 0.1964
Rb2 0.1673 0.7500 0.4140
Rb3 0.3327 0.2500 0.9140
Rb4 0.4891 0.7500 0.6964
Rb5 0.5109 0.2500 0.3036
Rb6 0.6673 0.7500 0.0860
Rb7 0.8327 0.2500 0.5860
Rb8 0.9891 0.7500 0.8036
Mn1 0.2311 0.7500 0.0800
Mn2 0.2689 0.2500 0.5800
Mn3 0.7311 0.7500 0.4200
Mn4 0.7689 0.2500 0.9200
O1 0.0271 0.7500 0.0809
O2 0.1962 0.0309 0.6509
O3 0.1962 0.4691 0.6509
O4 0.2036 0.2500 0.4349
O5 0.2964 0.7500 0.9349
O6 0.3038 0.5309 0.1509
O7 0.3038 0.9691 0.1509
O8 0.4729 0.2500 0.5809
O9 0.5271 0.7500 0.4191
O10 0.6962 0.0309 0.8491
O11 0.6962 0.4691 0.8491
O12 0.7036 0.2500 0.0651
O13 0.7964 0.7500 0.5651
O14 0.8038 0.5309 0.3491
O15 0.8038 0.9691 0.3491
O16 0.9729 0.2500 0.9191

## Properties
total energy = -5.500 eV per atom
V = 548.0 Å³ per cell
space group = Pnma